1.
## LaCu3Ni (PBE)

Data for a geometry-optimized LaCu3Ni structure.

**Formation enthalpy at 0 K**: 0.12 eV per atom

Cell lengths 4.533, 4.533, 4.533 Å; angles 90.00, 90.00, 90.00 degrees
Fractional coordinates of all 5 atoms:
La 0.000 0.000 0.000
Cu 0.000 0.500 0.500
Cu 0.500 0.000 0.500
Cu 0.500 0.500 0.000
Ni 0.500 0.500 0.500

---

2.
## NaNdTh (PBE)

Data for a geometry-optimized NaNdTh structure.

**Formation enthalpy at 0 K**: 0.50 eV per atom

Cell lengths 7.970, 6.601, 6.510 Å; angles 74.87, 53.09, 52.04 degrees
Fractional coordinates of all 6 atoms:
Na 0.130 0.130 0.870
Na 0.870 0.870 0.130
Nd 0.335 0.665 0.335
Nd 0.665 0.335 0.665
Th 0.250 0.250 0.250
Th 0.750 0.750 0.750

---

3.
## AcYRh2 (PBE)

Data for a geometry-optimized AcYRh2 structure.

**Formation enthalpy at 0 K**: -0.70 eV per atom

Cell lengths 3.971, 4.304, 5.893 Å; angles 90.00, 109.70, 90.00 degrees
Fractional coordinates of all 4 atoms:
Ac 0.000 0.000 0.000
Y 0.722 0.500 0.442
Rh 0.270 0.000 0.538
Rh 0.438 0.500 0.876